This record from Alexandria via LeMat-Bulk describes a relaxed BaHg3Pd2 crystal. The functional is PBE-GGA.

Geometry as CIF:
```
data_BaHg3Pd2
_space_group_name_H-M_alt 'P 1'
_space_group_IT_number 1
_space_group_name_Hall 'P 1'
_cell_length_a 6.8349
_cell_length_b 6.8349
_cell_length_c 8.3964
_cell_angle_alpha 65.98
_cell_angle_beta 65.98
_cell_angle_gamma 60.00
loop_
_atom_site_label
_atom_site_type_symbol
_atom_site_fract_x
_atom_site_fract_y
_atom_site_fract_z
Hg1 Hg 0.2661 0.2661 0.7203
Pd1 Pd 0.0000 0.0000 0.0000
Hg2 Hg 0.7339 0.7339 0.2797
Pd2 Pd 0.5000 0.0000 0.0000
Hg3 Hg 0.2661 0.7475 0.7203
Ba1 Ba 0.7783 0.7783 0.6650
Hg4 Hg 0.2525 0.7339 0.2797
Pd3 Pd 0.0000 0.5000 0.0000
Ba2 Ba 0.2217 0.2217 0.3350
Hg5 Hg 0.7475 0.2661 0.7203
Pd4 Pd 0.5000 0.5000 0.0000
Hg6 Hg 0.7339 0.2525 0.2797
```

## Properties
raw total energy: -2.419 eV/atom
excess energy over the best structure of this formula in the dataset: 0.97 eV per formula unit
ΔH_f (0 K): -0.217 eV per atom
space group: R-3m